Computed, not measured: crystalline Ta2MnPt3 at its relaxed geometry at the PBE level of DFT.

Unit cell a=7.849 b=7.849 c=7.849 alpha=139.87 beta=58.31 gamma=139.53
Fractional positions:
Ta1 0.167 0.222 0.389
Ta2 0.333 0.722 0.055
Ta3 0.667 0.278 0.945
Ta4 0.833 0.778 0.611
Mn1 0.250 0.750 0.500
Mn2 0.750 0.250 0.500
Pt1 0.144 0.720 0.864
Pt2 0.250 0.250 0.000
Pt3 0.356 0.220 0.576
Pt4 0.644 0.780 0.424
Pt5 0.750 0.750 0.000
Pt6 0.856 0.280 0.136

Calculated values
energy of formation from the pure elements: -9.5 kcal/mol of atoms
electronic total energy: -8.911 eV/atom